Computed, not measured: a relaxed structure of Ac2P3Rh at the PBE-GGA level of DFT.

a b c (Å): 6.2220 6.2220 8.3591
angles (deg): 109.98 109.98 94.69
With the nearest neighbours (Å) after each atom.
Fractional coordinates of all 12 atoms:
1 Rh 0.6626 0.6626 0.3251  3 P 2.30-2.33
2 Rh 0.3374 0.3374 0.6749  3 P 2.30-2.33
3 P 0.3613 0.7949 0.1562  1 P 2.25, 1 Rh 2.33
4 P 0.6387 0.2051 0.8438  1 P 2.25, 1 Rh 2.33
5 P 0.8221 0.8221 0.6441  1 Rh 2.30
6 P 0.2051 0.6387 0.8438  1 P 2.25, 1 Rh 2.33
7 P 0.1779 0.1779 0.3559  1 Rh 2.30
8 P 0.7949 0.3613 0.1562  1 P 2.25, 1 Rh 2.33
9 Ac 0.7500 0.2500 0.5000  8 P 3.27-3.28, 4 Rh 3.36
10 Ac 0.7711 0.7711 0.0000  10 P 3.21-3.42, 2 Rh 3.28
11 Ac 0.2289 0.2289 0.0000  10 P 3.21-3.42, 2 Rh 3.28
12 Ac 0.2500 0.7500 0.5000  8 P 3.27-3.28, 4 Rh 3.36

Values from the calculation:
energy of formation from the pure elements: -1045 meV/atom
uncorrected energy: -76.1 eV/cell
space-group type: Fmmm (69)